1.
DFT (PBE) results for a relaxed structure of TeMoPt2.

```
data_TeMoPt2
_symmetry_space_group_name_H-M 'R -3 m'
_symmetry_Int_Tables_number 166
_symmetry_space_group_name_Hall '-R 3 2"'
_cell_length_a 2.9420
_cell_length_b 2.9420
_cell_length_c 29.1510
_cell_angle_alpha 90.00
_cell_angle_beta 90.00
_cell_angle_gamma 120.00
loop_
_atom_site_label
_atom_site_fract_x
_atom_site_fract_y
_atom_site_fract_z
Te1 0.0000 0.0000 0.0000
Mo1 0.0000 0.0000 0.5000
Pt1 0.0000 0.0000 0.2407
```

Values from the calculation:
Raw formation energy   0.1544 eV/atom
Raw total energy   -76.31 eV/cell

---

2.
DFT (PBE) results for a relaxed structure of CuIr4Rh2.

```
data_CuIr4Rh2
_symmetry_space_group_name_H-M 'I 4/m c m'
_symmetry_Int_Tables_number 140
_symmetry_space_group_name_Hall '-I 4 2c'
_cell_length_a 7.5835
_cell_length_b 7.5835
_cell_length_c 8.1218
_cell_angle_alpha 90.00
_cell_angle_beta 90.00
_cell_angle_gamma 90.00
loop_
_atom_site_label
_atom_site_fract_x
_atom_site_fract_y
_atom_site_fract_z
Cu1 0.0000 0.0000 0.2500
Ir1 0.1494 0.3506 0.1682
Rh1 0.1478 0.3522 0.5000
```

Values from the calculation:
Raw total energy   -203.65 eV/cell

---

3.
DFT (PBE) results for a relaxed structure of RbAgTe2Pb.

```
data_RbAgTe2Pb
_symmetry_space_group_name_H-M 'C m m e'
_symmetry_Int_Tables_number 67
_symmetry_space_group_name_Hall '-C 2a 2'
_cell_length_a 7.5068
_cell_length_b 16.3704
_cell_length_c 6.5573
_cell_angle_alpha 90.00
_cell_angle_beta 90.00
_cell_angle_gamma 90.00
loop_
_atom_site_label
_atom_site_fract_x
_atom_site_fract_y
_atom_site_fract_z
Rb1 0.0000 0.2500 0.2400
Ag1 0.0000 0.0000 0.0000
Te1 0.0000 0.1256 0.7433
Pb1 0.2500 0.0000 0.5000
```

Values from the calculation:
Raw formation energy   -0.4585 eV/atom
Raw total energy   -64.41 eV/cell

---

4.
DFT (PBE) results for a relaxed structure of La2TaBe.

```
data_La2TaBe
_symmetry_space_group_name_H-M 'P 4/m m m'
_symmetry_Int_Tables_number 123
_symmetry_space_group_name_Hall '-P 4 2'
_cell_length_a 3.2283
_cell_length_b 3.2283
_cell_length_c 9.1507
_cell_angle_alpha 90.00
_cell_angle_beta 90.00
_cell_angle_gamma 90.00
loop_
_atom_site_label
_atom_site_fract_x
_atom_site_fract_y
_atom_site_fract_z
La1 0.0000 0.0000 0.2304
Ta1 0.5000 0.5000 0.5000
Be1 0.5000 0.5000 0.0000
```

Values from the calculation:
Raw total energy   -23.47 eV/cell

---

5.
DFT (PBE) results for a relaxed structure of Dy2HoSc.

```
data_Dy2HoSc
_symmetry_space_group_name_H-M 'R -3 m'
_symmetry_Int_Tables_number 166
_symmetry_space_group_name_Hall '-R 3 2"'
_cell_length_a 3.4802
_cell_length_b 3.4802
_cell_length_c 33.7161
_cell_angle_alpha 90.00
_cell_angle_beta 90.00
_cell_angle_gamma 120.00
loop_
_atom_site_label
_atom_site_fract_x
_atom_site_fract_y
_atom_site_fract_z
Dy1 0.0000 0.0000 0.2472
Ho1 0.0000 0.0000 0.0000
Sc1 0.0000 0.0000 0.5000
```

Values from the calculation:
Raw total energy   -59.82 eV/cell

---

6.
DFT (PBE) results for a relaxed structure of SrAlZn2Ge.

```
data_SrAlZn2Ge
_symmetry_space_group_name_H-M 'I m m 2'
_symmetry_Int_Tables_number 44
_symmetry_space_group_name_Hall 'I 2 -2'
_cell_length_a 4.2592
_cell_length_b 4.3252
_cell_length_c 11.1928
_cell_angle_alpha 90.00
_cell_angle_beta 90.00
_cell_angle_gamma 90.00
loop_
_atom_site_label
_atom_site_fract_x
_atom_site_fract_y
_atom_site_fract_z
Sr1 0.0000 0.0000 0.0000
Al1 0.0000 0.5000 0.7492
Zn1 0.0000 0.0000 0.6189
Zn2 0.0000 0.5000 0.2483
Ge1 0.0000 0.0000 0.3905
```

Values from the calculation:
Raw total energy   -28.75 eV/cell

---

Question: Among the records above, which one has the highest raw total energy?
Answer: La2TaBe